Record 1
A relaxed structure of LaSm2B9. Source: Alexandria via LeMat-Bulk, functional PBE.

Lattice parameters (Å, degrees): 4.7087 4.7087 8.3897 73.70 73.70 60.00
Atoms (fractional coordinates):
La 0.0000 0.0000 0.0000
Sm 0.8671 0.8671 0.3987
Sm 0.1329 0.1329 0.6013
B 0.5768 0.5768 0.2695
B 0.4232 0.4232 0.7305
B 0.5000 0.5000 0.5000
B 0.3713 0.3713 0.2396
B 0.0179 0.3713 0.2396
B 0.3713 0.0179 0.2396
B 0.6287 0.6287 0.7604
B 0.6287 0.9821 0.7604
B 0.9821 0.6287 0.7604

Mass density (g cm⁻³): 5.850
DFT formation energy (kJ per mole of atoms): -10
Electronic total energy (eV per cell): -75.71
V (Å³/atom): 12.700


Record 2
A relaxed structure of Tl2InBiH. Source: Alexandria via LeMat-Bulk, functional PBE.

Lattice parameters (Å, degrees): 5.0244 5.0244 5.0205 90.00 90.00 90.00
Atoms (fractional coordinates):
H 0.0000 0.0000 0.0000
Tl 0.0000 0.5000 0.0000
Tl 0.5000 0.0000 0.0000
Bi 0.5000 0.5000 0.5000
In 0.0000 0.0000 0.5000

Mass density (g cm⁻³): 9.611
Electronic total energy (eV per cell): -13.96
V (Å³/atom): 25.348


Record 3
A relaxed structure of CsRb2CdAg. Source: Alexandria via LeMat-Bulk, functional PBE.

Lattice parameters (Å, degrees): 7.0752 7.0752 5.6437 90.00 90.00 90.00
Atoms (fractional coordinates):
Cs 0.5000 0.5000 0.5000
Rb 0.0000 0.5000 0.0000
Rb 0.5000 0.0000 0.0000
Ag 0.0000 0.0000 0.5000
Cd 0.0000 0.0000 0.0000

Mass density (g cm⁻³): 3.081
DFT formation energy (kJ per mole of atoms): 11
Electronic total energy (eV per cell): -5.98
V (Å³/atom): 56.503


Record 4
A relaxed structure of Ca3Pr2PuSe6. Source: Alexandria via LeMat-Bulk, functional PBE.

Lattice parameters (Å, degrees): 4.1968 8.4910 9.4720 103.74 102.80 90.00
Atoms (fractional coordinates):
Ca 0.5000 0.5000 0.0000
Ca 0.8330 0.1657 0.6659
Ca 0.1670 0.8343 0.3341
Pr 0.8336 0.6664 0.6671
Pr 0.1664 0.3336 0.3329
Pu 0.5000 0.0000 0.0000
Se 0.3330 0.9217 0.6661
Se 0.6648 0.5892 0.3297
Se 0.6670 0.0783 0.3339
Se 0.9982 0.2485 0.9964
Se 0.0018 0.7515 0.0036
Se 0.3352 0.4108 0.6703

Mass density (g cm⁻³): 5.825
Electronic total energy (eV per cell): -72.95
V (Å³/atom): 26.603


Question: Which value of V does entry 3 give?
Answer: 56.503 Å³/atom